Record 1
{"formula": "LiBiSe3", "functional": "PBE", "state": "optimized geometry", "lattice": [[9.7749, -2.2946, 0.0000], [9.7749, 2.2946, 0.0000], [-1.3081, 0.0000, 6.3288]], "species": ["Li", "Li", "Bi", "Bi", "Se", "Se", "Se", "Se", "Se", "Se"], "frac_coords": [[0.2086, 0.2086, 0.3831], [0.7914, 0.7914, 0.6169], [0.3832, 0.3832, 0.2166], [0.6168, 0.6168, 0.7834], [0.0139, 0.0139, 0.6854], [0.2130, 0.2130, 0.9786], [0.3447, 0.3447, 0.5816], [0.6553, 0.6553, 0.4184], [0.7870, 0.7870, 0.0214], [0.9861, 0.9861, 0.3146]], "polymorph_energy_mev_per_atom": 0, "n_ef_per_ev_cell": 2.18, "raw_formation_energy_ev_per_atom": -0.4352, "space_group": "C2/m, No. 12"}

=====

Record 2
{"formula": "LiBiSe3", "functional": "PBE", "state": "optimized geometry", "lattice": [[4.7948, 0.0000, 0.0000], [0.0000, 4.7948, 0.0000], [0.0000, 0.0000, 4.7948]], "species": ["Li", "Bi", "Se", "Se", "Se"], "frac_coords": [[0.0000, 0.0000, 0.0000], [0.5000, 0.5000, 0.5000], [0.0000, 0.0000, 0.5000], [0.0000, 0.5000, 0.0000], [0.5000, 0.0000, 0.0000]], "polymorph_energy_mev_per_atom": 475, "n_ef_per_ev_cell": 3.63, "raw_formation_energy_ev_per_atom": 0.0400, "space_group": "Pm-3m, No. 221"}

=====

Record 3
{"formula": "LiBi2Se3", "functional": "PBE", "state": "optimized geometry", "lattice": [[-2.1249, 3.0759, 6.1631], [2.1249, -3.0759, 6.1631], [2.1249, 3.0759, -6.1631]], "species": ["Li", "Bi", "Bi", "Se", "Se", "Se"], "frac_coords": [[0.0000, 0.0000, 0.0000], [0.3305, 0.3305, 0.0000], [0.6695, 0.6695, 0.0000], [0.1658, 0.6658, 0.5000], [0.5000, 0.0000, 0.5000], [0.8342, 0.3342, 0.5000]], "polymorph_energy_mev_per_atom": 3, "n_ef_per_ev_cell": 1.37, "raw_formation_energy_ev_per_atom": -0.5157, "space_group": "Immm, No. 71"}

=====

What did the first record say?
{"formula": "LiBiSe3", "functional": "PBE", "state": "optimized geometry", "lattice": [[9.7749, -2.2946, 0.0000], [9.7749, 2.2946, 0.0000], [-1.3081, 0.0000, 6.3288]], "species": ["Li", "Li", "Bi", "Bi", "Se", "Se", "Se", "Se", "Se", "Se"], "frac_coords": [[0.2086, 0.2086, 0.3831], [0.7914, 0.7914, 0.6169], [0.3832, 0.3832, 0.2166], [0.6168, 0.6168, 0.7834], [0.0139, 0.0139, 0.6854], [0.2130, 0.2130, 0.9786], [0.3447, 0.3447, 0.5816], [0.6553, 0.6553, 0.4184], [0.7870, 0.7870, 0.0214], [0.9861, 0.9861, 0.3146]], "polymorph_energy_mev_per_atom": 0, "n_ef_per_ev_cell": 2.18, "raw_formation_energy_ev_per_atom": -0.4352, "space_group": "C2/m, No. 12"}

=====

- Which formula does entry 1 have?
  LiBiSe3